Entry 1:
# Fe2OF3

An optimized crystal structure of Fe2OF3 (GGA+U, Alexandria via LeMat-Bulk).

* uncorrected energy: -33.754 eV/f.u.
* energy relative to the lowest polymorph listed for this composition: 157.0 meV per atom
* magnetization: 1.1646 μB per atom
* symmetry: C2/m (12)

Cell: 10.049 10.049 4.766 Å, 87.65 87.65 36.12°
Site moments in Bohr magnetons follow the coordinates.
Positions (direct):
1 Fe 0.500 0.500 0.000  3.70
2 O 0.168 0.168 0.327  -0.17
3 Fe 0.000 0.000 0.000  3.79
4 F 0.679 0.679 0.287  0.03
5 Fe 0.379 0.871 0.501  3.25
6 F 0.947 0.448 0.793  0.04
7 F 0.448 0.947 0.793  0.04
8 F 0.074 0.074 0.701  0.04
9 Fe 0.242 0.242 0.032  3.72
10 O 0.419 0.419 0.321  -0.19
11 Fe 0.871 0.379 0.501  3.25
12 Fe 0.129 0.621 0.499  3.25
13 F 0.926 0.926 0.299  0.04
14 O 0.832 0.832 0.673  -0.17
15 O 0.581 0.581 0.679  -0.19
16 F 0.698 0.198 0.792  0.04
17 Fe 0.758 0.758 0.968  3.72
18 Fe 0.621 0.129 0.499  3.25
19 F 0.552 0.053 0.207  0.04
20 F 0.053 0.552 0.207  0.04
21 F 0.802 0.302 0.208  0.04
22 F 0.321 0.321 0.713  0.03
23 F 0.198 0.698 0.792  0.04
24 F 0.302 0.802 0.208  0.04

=====

Entry 2:
# Fe2O3F

An optimized crystal structure of Fe2O3F (GGA+U, Alexandria via LeMat-Bulk).

* uncorrected energy: -36.680 eV/f.u.
* energy relative to the lowest polymorph listed for this composition: 0.0 meV per atom
* magnetization: 1.4997 μB per atom
* symmetry: Imma (74)

Cell: 5.580 5.580 5.580 Å, 114.91 110.21 103.49°
Site moments in Bohr magnetons follow the coordinates.
Positions (direct):
1 F 0.799 0.049 0.750  0.15
2 O 0.307 0.500 0.307  0.06
3 Fe 0.465 0.715 0.750  4.19
4 Fe 0.535 0.285 0.250  4.19
5 O 0.822 0.572 0.250  0.15
6 O 0.693 0.500 0.693  0.06
7 Fe 0.000 0.000 0.500  4.25
8 O 0.307 0.000 0.807  0.06
9 Fe 0.000 0.500 0.000  4.25
10 O 0.693 0.000 0.193  0.06
11 O 0.178 0.428 0.750  0.15
12 F 0.201 0.951 0.250  0.15

=====

Entry 3:
# Fe6O7F5

An optimized crystal structure of Fe6O7F5 (GGA+U, Alexandria via LeMat-Bulk).

* uncorrected energy: -107.148 eV/f.u.
* energy relative to the lowest polymorph listed for this composition: 123.1 meV per atom
* magnetization: 1.3887 μB per atom
* symmetry: P1 (1)

Cell: 4.726 5.646 7.666 Å, 84.94 87.67 85.50°
Site moments in Bohr magnetons follow the coordinates.
Positions (direct):
1 O 0.296 0.790 0.897  0.09
2 F 0.296 0.139 0.566  0.07
3 Fe 0.981 0.340 0.674  3.22
4 Fe 0.017 0.010 0.997  4.24
5 O 0.813 0.382 0.447  0.13
6 O 0.683 0.527 0.774  0.04
7 F 0.205 0.644 0.561  0.12
8 F 0.813 0.717 0.101  0.11
9 O 0.178 0.284 0.888  -0.03
10 F 0.791 0.019 0.770  0.12
11 O 0.702 0.207 0.096  0.03
12 Fe 0.509 0.819 0.668  4.37
13 O 0.308 0.458 0.230  0.05
14 F 0.191 0.956 0.233  0.12
15 Fe 0.468 0.481 0.993  3.10
16 Fe 0.557 0.193 0.335  4.27
17 Fe 0.991 0.655 0.334  4.36
18 O 0.700 0.881 0.437  0.24

=====

Entry 4:
# Fe4O3F5

An optimized crystal structure of Fe4O3F5 (GGA+U, Alexandria via LeMat-Bulk).

* uncorrected energy: -70.502 eV/f.u.
* energy relative to the lowest polymorph listed for this composition: 16.5 meV per atom
* magnetization: 1.5867 μB per atom
* symmetry: Cm (8)

Cell: 5.684 5.684 4.803 Å, 86.52 86.52 66.07°
Site moments in Bohr magnetons follow the coordinates.
Positions (direct):
1 F 0.158 0.638 0.802  0.12
2 Fe 0.484 0.005 0.510  4.40
3 F 0.638 0.158 0.802  0.12
4 Fe 0.005 0.005 0.994  3.85
5 F 0.854 0.854 0.310  0.09
6 O 0.654 0.654 0.697  0.33
7 F 0.366 0.839 0.198  0.11
8 Fe 0.005 0.484 0.510  4.40
9 F 0.839 0.366 0.198  0.11
10 O 0.349 0.349 0.297  0.35
11 O 0.148 0.148 0.684  0.34
12 Fe 0.500 0.500 0.997  4.43